Material: LiPaO3
Method: DFT, PBEsol
State: relaxed

Unit cell a=4.303 b=4.303 c=4.303 alpha=90.00 beta=90.00 gamma=90.00
Space group Pm-3m (No. 221)
Asymmetric unit:
Li (0.000, 0.000, 0.000)
Pa (0.500, 0.500, 0.500)
O (0.000, 0.500, 0.500)

* spin magnetization: 0.0000 μB per atom
* density: 5.96 g/cm3
* energy relative to the elements, uncorrected: -2910.5 meV per atom
* V: 15.9 Å³/atom
* crystal system: cubic